# BaNa2InSb2

A geometry-optimized BaNa2InSb2 structure (GGA-PBE, the Alexandria database).

```
BaNa2InSb2
1.0
5.026 0.000 0.000
0.000 8.407 0.000
0.000 0.000 9.443
Ba Na In Sb
2 4 2 4
Cartesian
0.000 8.335 4.184 Ba
0.000 4.132 5.259 Ba
2.513 0.293 0.683 Na
0.000 3.005 1.518 Na
2.513 4.497 8.760 Na
0.000 7.208 7.925 Na
2.513 1.250 6.554 In
2.513 5.454 2.889 In
0.000 1.984 8.007 Sb
2.513 2.330 3.396 Sb
0.000 6.188 1.436 Sb
2.513 6.533 6.046 Sb
```

Results
Magnetic moment = 0.00 μB per cell
Total energy = -3.136 eV per atom
ΔE_f (raw) = -545 meV per atom
Calculated volume = 33.251 A^3/atom
Crystal system = orthorhombic

# BaNaIn2Se4

A geometry-optimized BaNaIn2Se4 structure (GGA-PBE, the Alexandria database).

```
BaNaIn2Se4
1.0
7.512 0.000 0.000
3.756 5.777 0.217
3.756 0.689 5.740
Ba Na In Se
1 1 2 4
Cartesian
0.000 0.000 0.000 Ba
7.512 3.233 2.978 Na
3.756 1.617 1.490 In
11.268 4.849 4.467 In
5.826 0.902 3.126 Se
5.826 5.565 2.831 Se
9.198 3.190 0.643 Se
9.198 3.277 5.314 Se
```

Results
Magnetic moment = 0.00 μB per cell
Total energy = -3.700 eV per atom
ΔE_f (raw) = -868 meV per atom
Calculated volume = 30.999 A^3/atom
Crystal system = tetragonal

# BaNaInSe3

A geometry-optimized BaNaInSe3 structure (GGA-PBE, the Alexandria database).

```
BaNaInSe3
1.0
4.341 0.000 0.000
-2.171 7.421 0.000
0.000 0.000 11.342
Ba Na In Se
2 2 2 6
Cartesian
2.171 3.699 8.507 Ba
0.000 3.722 2.836 Ba
0.000 0.000 5.671 Na
0.000 0.000 0.000 Na
0.000 6.890 8.507 In
2.171 0.531 2.836 In
2.171 2.110 4.860 Se
0.000 5.311 6.483 Se
0.000 5.311 10.531 Se
2.171 2.110 0.811 Se
0.000 1.092 8.507 Se
2.171 6.329 2.836 Se
```

Results
Magnetic moment = 0.00 μB per cell
Total energy = -3.925 eV per atom
ΔE_f (raw) = -1186 meV per atom
Calculated volume = 30.450 A^3/atom
Crystal system = orthorhombic

# Ba2NaInSe4

A geometry-optimized Ba2NaInSe4 structure (GGA-PBE, the Alexandria database).

```
Ba2NaInSe4
1.0
-0.600 -6.909 5.435
1.929 -5.634 -6.493
5.488 6.863 1.897
Ba Na In Se
4 2 2 8
Cartesian
-0.300 -3.454 2.717 Ba
2.444 -0.023 3.666 Ba
2.744 3.432 0.948 Ba
0.664 -6.271 -0.529 Ba
0.964 -2.817 -3.247 Na
3.108 -6.294 3.136 Na
3.408 -2.840 0.419 In
4.888 -0.045 7.332 In
6.766 1.011 -1.923 Se
2.921 -3.195 3.112 Se
3.895 -2.484 -2.274 Se
0.051 -6.691 2.762 Se
6.334 -2.714 1.182 Se
3.839 -5.830 0.320 Se
2.977 0.151 0.518 Se
0.483 -2.965 -0.344 Se
```

Results
Magnetic moment = 0.00 μB per cell
Total energy = -4.034 eV per atom
ΔE_f (raw) = -1303 meV per atom
Calculated volume = 30.693 A^3/atom
Crystal system = orthorhombic

# BaNaSmIn

A geometry-optimized BaNaSmIn structure (GGA-PBE, the Alexandria database).

```
BaNaSmIn
1.0
5.827 0.000 0.000
2.914 5.047 0.000
2.914 1.682 4.758
Na Ba Sm In
1 1 1 1
Cartesian
0.000 0.000 0.000 Na
2.914 1.682 1.190 Ba
8.741 5.047 3.569 Sm
5.827 3.364 2.379 In
```

Results
Magnetic moment = 0.00 μB per cell
Total energy = -2.754 eV per atom
Calculated volume = 34.981 A^3/atom
Crystal system = cubic
Formation enthalpy at 0 K = -0.3 eV per formula unit

# BaNaIn2Sn2

A geometry-optimized BaNaIn2Sn2 structure (GGA-PBE, the Alexandria database).

```
BaNaIn2Sn2
1.0
4.921 0.000 0.000
-2.461 4.262 0.000
0.000 0.000 9.470
Ba Na In Sn
1 1 2 2
Cartesian
0.000 0.000 0.000 Ba
0.000 0.000 4.735 Na
2.461 1.421 2.219 In
0.000 2.841 7.251 In
2.461 1.421 6.637 Sn
0.000 2.841 2.832 Sn
```

Results
Magnetic moment = 0.00 μB per cell
Total energy = -3.073 eV per atom
Calculated volume = 33.100 A^3/atom
Crystal system = trigonal
Formation enthalpy at 0 K = -1.7 eV per formula unit

# BaNa2InSn2

A geometry-optimized BaNa2InSn2 structure (GGA-PBE, the Alexandria database).

```
BaNa2InSn2
1.0
-2.504 3.339 2.752
3.946 -2.783 6.966
6.747 6.177 -1.354
Ba Na In Sn
2 4 2 4
Cartesian
6.871 -0.097 6.369 Ba
5.784 2.106 2.708 Ba
-0.668 2.008 1.497 Na
2.499 0.055 2.207 Na
7.126 5.945 3.812 Na
8.976 2.787 4.786 Na
3.951 5.438 1.540 In
3.493 1.820 5.511 In
6.624 4.659 0.377 Sn
2.379 3.127 2.911 Sn
3.831 -1.097 4.816 Sn
6.140 3.372 6.036 Sn
```

Results
Magnetic moment = 0.00 μB per cell
Total energy = -2.888 eV per atom
Calculated volume = 32.655 A^3/atom
Crystal system = orthorhombic
Formation enthalpy at 0 K = -2.0 eV per formula unit

# Ba2NaIn6Sn

A geometry-optimized Ba2NaIn6Sn structure (GGA-PBE, the Alexandria database).

```
Ba2NaIn6Sn
1.0
8.025 0.000 0.000
0.000 8.025 0.000
4.013 4.012 5.675
Ba Na In Sn
2 1 6 1
Cartesian
4.013 8.025 2.837 Ba
8.025 4.012 2.837 Ba
4.013 4.012 0.000 Na
2.025 6.000 0.000 In
6.001 6.000 0.000 In
4.013 4.012 2.811 In
6.001 2.024 0.000 In
2.025 2.025 0.000 In
8.026 8.025 2.863 In
0.000 0.000 0.000 Sn
```

Results
Magnetic moment = 0.00 μB per cell
Total energy = -2.562 eV per atom
Calculated volume = 36.545 A^3/atom
Crystal system = cubic
Formation enthalpy at 0 K = 0.0 eV per formula unit